First-principles (PBEsol) data for crystalline ScGaRh3 at its relaxed geometry, as listed in Alexandria.

```
ScGaRh3
1.0
4.447 0.000 0.000
0.000 4.447 0.000
0.000 0.000 4.447
Sc Ga Rh
1 1 3
Cartesian
0.000 0.000 0.000
2.224 2.224 2.224
0.000 2.224 2.224
2.224 0.000 2.224
2.224 2.224 0.000
```

Values from the calculation:
Formation energy from the elements = 50 kJ/mol of formula units
SG = Pm-3m (221)
Theoretical density = 7.993 g cm⁻³

***

First-principles (PBEsol) data for crystalline LiZn3 at its relaxed geometry, as listed in Alexandria.

```
LiZn3
1.0
4.299 2.482 0.860
-4.299 2.482 0.860
0.000 -4.964 0.860
Li Zn
1 3
Cartesian
0.000 0.000 0.000
-2.149 -1.241 0.860
-2.149 1.241 1.721
0.000 2.482 0.860
```

Values from the calculation:
Formation energy from the elements = -39 kJ/mol of formula units
SG = R-3m (166)
Theoretical density = 6.126 g cm⁻³

***

First-principles (PBEsol) data for crystalline LaIn2Ag2 at its relaxed geometry, as listed in Alexandria.

```
LaIn2Ag2
1.0
-2.336 2.336 5.444
2.336 -2.336 5.444
2.336 2.336 -5.444
La In Ag
1 2 2
Cartesian
0.000 0.000 0.000
0.000 0.000 4.091
0.000 0.000 6.798
2.336 0.000 2.722
0.000 2.336 2.722
```

Values from the calculation:
Formation energy from the elements = -151 kJ/mol of formula units
SG = I4/mmm (139)
Theoretical density = 8.167 g cm⁻³